Run A
A geometry-optimized TcBiH3 structure, computed with PBE.

Volume in Å³ per atom: 14.3
Mass density in Mg/m³: 7.216

Lattice parameters (Å, degrees): 4.1474 4.1474 4.1474 90.00 90.00 90.00
Space group Pm-3m (No. 221)
Asymmetric unit:
1 Tc 0.0000 0.0000 0.0000 x1
2 Bi 0.5000 0.5000 0.5000 x1
3 H 0.0000 0.5000 0.5000 x3

=====

Run B
A geometry-optimized TcBiH3 structure, computed with PBE.

Volume in Å³ per atom: 10.3
Mass density in Mg/m³: 9.965

Lattice parameters (Å, degrees): 3.7243 3.7243 3.7243 90.00 90.00 90.00
Space group Pm-3m (No. 221)
Asymmetric unit:
1 Tc 0.0000 0.0000 0.0000 x1
2 Bi 0.5000 0.5000 0.5000 x1
3 H 0.0000 0.0000 0.5000 x3

=====

Verdict on stability: run A comes out at the bottom.